# 1
# Cr2Co2C

Cr2Co2C at its PBEsol-relaxed geometry (meta-GGA SCAN, the Alexandria database).

Cell: 2.9012 2.9012 6.5771 Å, 102.74 102.74 90.00°
Last column: magnetic moment on the atom in μB.
Positions (direct):
Cr 0.4170 0.4170 0.8340  0.08
Cr 0.5830 0.5830 0.1660  0.08
C 0.0000 0.0000 0.0000  -0.02
Co 0.2500 0.7500 0.5000  1.53
Co 0.7500 0.2500 0.5000  1.53

Calculated values
V	53	Å³/cell
density of states at the Fermi level	3.06	states/eV/cell
space-group type	I4/mmm
formation energy	1.00	eV/atom



# 2
# CrCoC3

CrCoC3 at its PBEsol-relaxed geometry (meta-GGA SCAN, the Alexandria database).

Cell: 3.6538 3.6538 3.6538 Å, 90.00 90.00 90.00°
Last column: magnetic moment on the atom in μB.
Positions (direct):
Cr 0.5000 0.5000 0.5000  3.59
C 0.0000 0.5000 0.0000  -0.05
C 0.0000 0.0000 0.5000  -0.05
C 0.5000 0.0000 0.0000  -0.05
Co 0.0000 0.0000 0.0000  -0.10

Calculated values
V	49	Å³/cell
density of states at the Fermi level	1.98	states/eV/cell
space-group type	Pm-3m
formation energy	1.98	eV/atom



# 3
# Ta6Cr3Co3C2

Ta6Cr3Co3C2 at its PBEsol-relaxed geometry (meta-GGA SCAN, the Alexandria database).

Cell: 7.9580 7.9819 7.9819 Å, 60.06 60.10 60.10°
Positions (direct):
Ta 0.9275 0.5725 0.5725
Ta 0.3201 0.1799 0.1799
Ta 0.3224 0.1781 0.5697
Ta 0.9298 0.5697 0.1781
Ta 0.3224 0.5697 0.1781
Ta 0.9298 0.1781 0.5697
Ta 0.0709 0.9291 0.9291
Ta 0.6791 0.3209 0.3209
Ta 0.6809 0.3193 0.9293
Ta 0.0705 0.9293 0.3193
Ta 0.6809 0.9293 0.3193
Ta 0.0705 0.3193 0.9293
Cr 0.4966 0.7537 0.2531
Cr 0.4966 0.2531 0.7537
Cr 0.0032 0.7499 0.7499
Cr 0.4969 0.7499 0.7499
Cr 0.7005 0.9536 0.6454
Cr 0.7005 0.6453 0.9536
Co 0.3918 0.9542 0.9542
Co 0.6997 0.9542 0.9542
Co 0.3004 0.5489 0.8504
Co 0.3004 0.8504 0.5489
Co 0.6071 0.5474 0.5474
Co 0.2982 0.5474 0.5474
C 0.0009 0.2490 0.7492
C 0.0009 0.7492 0.2490
C 0.5007 0.2492 0.2492
C 0.0008 0.2492 0.2492

Calculated values
V	359	Å³/cell
density of states at the Fermi level	24.12	states/eV/cell
space-group type	Imm2
formation energy	-0.28	eV/atom